LiMnCo2 GGA-PBE optimized geometry; ρ = 6.7 Mg/m³; energy relative to the elements = 19.7 kJ/mol of atoms; final energy = -0.450 Ry/atom; magnetic moment = 4.702 μB/cell
1.0
4.122 0.000 0.000
0.000 4.122 0.000
0.000 0.000 2.631
Co Li Mn
2 1 1
Direct
0.000 0.000 0.000 Co
0.500 0.500 0.000 Co
0.500 0.000 0.500 Li
0.000 0.500 0.500 Mn